Record 1
# Li6Ti3VP6O24

A geometry-optimized Li6Ti3VP6O24 structure (PBE with a Hubbard U, Alexandria via LeMat-Bulk).

Calculated values
The density of states at the Fermi level is 9.747 states/eV/f.u. The value obtained for the total energy is -0.5351 Ry per atom.

```
40
Lattice="8.4528 0.0000 0.0000 4.2178 7.3683 0.0000 4.1627 2.3654 7.6841" Properties=species:S:1:pos:R:3 pbc="T T T"
Li 0.0000 0.0000 0.0000
Li 5.2553 4.7397 5.5211
Li 8.6415 4.2017 7.6433
Li 9.4938 6.8775 4.0031
Li 12.1150 6.8356 7.6484
Li 9.9375 1.8311 3.8291
Ti 6.9553 6.9789 6.2852
Ti 6.9858 2.0982 2.2914
Ti 11.1972 4.5520 3.2183
V 11.1379 9.4073 6.9512
P 4.4421 2.0463 4.6851
P 5.1408 4.5306 0.8303
P 8.1748 4.2119 4.7261
P 9.9963 6.6930 0.8957
P 12.4385 7.2680 4.7082
P 9.9247 2.4503 0.8072
O 4.2981 4.4911 2.1307
O 5.1358 2.7794 5.8669
O 2.5685 1.4344 0.4958
O 8.2240 7.9706 5.0902
O 5.5216 5.9573 0.4572
O 8.4212 6.2077 7.4037
O 7.1215 5.2970 5.0857
O 5.3882 1.8311 3.4943
O 6.4023 3.6420 1.0101
O 8.3749 3.2299 5.8891
O 7.6806 3.4570 3.4596
O 8.5838 6.2807 0.4919
O 11.4373 7.6080 5.8227
O 5.9240 0.8777 0.9795
O 9.5354 4.8888 4.3959
O 10.3560 6.1415 2.3035
O 12.2342 8.0927 3.4170
O 8.5332 1.7597 0.9406
O 12.3316 5.7308 4.4702
O 15.2333 8.5551 7.5538
O 10.2076 3.1712 2.1439
O 13.9105 7.6069 5.1294
O 13.9313 5.8577 7.3184
O 11.6280 2.8501 4.3050
```



Record 2
# Li5Ti3V2P6O24

A geometry-optimized Li5Ti3V2P6O24 structure (PBE with a Hubbard U, Alexandria via LeMat-Bulk).

Calculated values
The density of states at the Fermi level is 11.596 states/eV/f.u. The value obtained for the total energy is -0.5381 Ry per atom.

```
40
Lattice="8.5593 0.0000 0.0000 4.0012 7.6588 0.0000 4.0603 2.5265 7.2161" Properties=species:S:1:pos:R:3 pbc="T T T"
Li 0.0000 0.0000 0.0000
Li 5.0622 4.8203 6.2015
Li 6.3078 7.6484 3.9298
Li 4.8945 3.7419 3.7396
Li 11.1037 5.8394 5.9258
Ti 4.0204 4.0317 0.1971
Ti 8.9096 7.0797 2.3328
Ti 8.3615 1.5358 3.8188
V 6.5260 5.5729 1.2624
V 10.7579 3.0469 4.8946
P 2.3097 1.4542 1.6367
P 9.1882 8.8321 5.1843
P 7.7678 4.7699 4.5313
P 6.5835 1.9854 0.9823
P 13.5287 7.8490 6.6984
P 12.0430 5.8968 3.0657
O 1.2616 1.2752 0.5669
O 4.4496 5.1511 2.0601
O 4.3152 2.4677 5.2036
O 3.3303 2.5500 1.2992
O 6.2997 4.4733 4.7830
O 6.9372 7.6793 1.8935
O 9.1730 8.2713 6.6645
O 8.5166 7.8814 4.1723
O 8.3983 5.6364 5.6544
O 7.8220 5.4988 3.1290
O 6.0487 3.4415 0.6812
O 10.6471 9.0861 4.8126
O 5.4717 1.0461 1.4545
O 8.6682 3.4942 4.4493
O 8.5990 6.0066 0.5862
O 7.6426 2.1082 2.0833
O 10.6940 6.2563 2.4524
O 11.2157 3.9753 6.8549
O 13.6795 8.8431 5.4790
O 12.8297 6.5648 6.2954
O 11.8158 4.9035 4.2467
O 12.7813 7.1950 3.4802
O 10.3150 1.8448 3.0639
O 14.9898 7.6014 7.1474
```